1.
The following is a PBEsol calculation of crystalline Li5Mg at its relaxed geometry, from Alexandria via LeMat-Bulk.

abc: 7.8231 7.8231 7.8231
angles: 90.00 90.00 90.00
With the nearest neighbours (Å) after each atom.
Space group F-43m (No. 216)
Unique sites:
Li 0.0000 0.0000 0.0000 x4  12 Li 3.24, 4 Mg 3.39
Li 0.1245 0.1245 0.6245 x16  6 Li 2.76-2.78
Mg 0.2500 0.2500 0.2500 x4  16 Li 3.24-3.39

Calculated values
* energy relative to the lowest polymorph listed for this composition: 27 kJ/mol of formula units
* DOS(E_F): 11.2 states/eV/cell

2.
The following is a PBEsol calculation of crystalline BeCr2Fe at its relaxed geometry, from Alexandria via LeMat-Bulk.

abc: 2.4480 2.4480 23.7343
angles: 90.00 90.00 120.00
With the nearest neighbours (Å) after each atom.
Space group R3m (No. 160, hexagonal axes)
Unique sites:
Be 0.0000 0.0000 0.0000 x3  3 Fe 2.32, 3 Cr 2.44, 6 Be 2.45
Cr 0.0000 0.0000 0.2495 x3  3 Be 2.44, 9 Cr 2.45-2.58
Cr 0.0000 0.0000 0.4916 x3  3 Fe 2.38, 9 Cr 2.45-2.58
Fe 0.0000 0.0000 0.7444 x3  3 Be 2.32, 3 Cr 2.38, 6 Fe 2.45

Calculated values
* DOS(E_F): 8.4 states/eV/cell

| no. | formation energy from the elements (meV per atom) |
| --- | --- |
| 1 | 25 |
| 2 | 184 |